No. 1
Compound: AgAs2W
Source: Alexandria
Functional: PBE
Structure: optimized geometry

Unit cell a=3.4588 b=3.4588 c=5.8906 alpha=90.00 beta=90.00 gamma=90.00
With the nearest neighbours (Å) after each atom.
Fractional coordinates of all 4 atoms:
As (0.0000, 0.0000, 0.9904)  1 W 2.64, 4 Ag 2.77
As (0.5000, 0.5000, 0.3010)  4 W 2.58, 1 Ag 2.76
Ag (0.5000, 0.5000, 0.7699)  5 As 2.76-2.77
W (0.0000, 0.0000, 0.4388)  5 As 2.58-2.64

Uncorrected energy   -5.844 eV per atom
Crystal system   tetragonal



No. 2
Compound: AgAsW
Source: Alexandria
Functional: PBE
Structure: optimized geometry

Unit cell a=7.2422 b=7.2422 c=7.2422 alpha=157.26 beta=157.26 gamma=32.37
With the nearest neighbours (Å) after each atom.
Fractional coordinates of all 3 atoms:
As (0.6954, 0.6954, 0.0000)  4 W 2.72, 4 As 2.86
Ag (0.9779, 0.9779, 0.0000)  4 Ag 2.86, 4 W 2.91
W (0.3267, 0.3267, 0.0000)  4 As 2.72, 4 W 2.86, 4 Ag 2.91

Uncorrected energy   -6.288 eV per atom
Crystal system   tetragonal



no.,total magnetic moment (μB per atom),energy of formation (meV/atom),energy above the lowest structure with this stoichiometry (meV/atom)
1,0.000,432,301
2,0.000,530,132